1.
Material: Er2PuScTe4
Method: DFT, GGA-PBE
State: optimized geometry

Computed properties:
- E_form (uncorrected): -9.3 eV per formula unit
- Total moment: 6.1 μB per cell
- Density of states at the Fermi level: 11.44 states/eV/cell

a = 4.289 Å, b = 7.481 Å, c = 7.478 Å
α = 109.11°, β = 90.00°, γ = 90.00°
Last column: magnetic moment on the atom in μB.
Fractional coordinates of all 8 atoms:
1 Er 0.500 0.000 0.500  -0.04
2 Er 0.000 0.500 0.500  0.06
3 Sc 0.000 0.000 0.000  0.11
4 Te 0.000 0.758 0.251  -0.03
5 Te 0.500 0.241 0.246  -0.01
6 Te 0.500 0.759 0.754  -0.01
7 Te 0.000 0.242 0.749  -0.03
8 Pu 0.500 0.500 0.000  5.56



2.
Material: Er3Pu2ScTe6
Method: DFT, GGA-PBE
State: optimized geometry

Computed properties:
- E_form (uncorrected): -14.1 eV per formula unit
- Total moment: 12.2 μB per cell
- Density of states at the Fermi level: 21.79 states/eV/cell

a = 4.313 Å, b = 8.704 Å, c = 9.696 Å
α = 103.40°, β = 102.85°, γ = 90.00°
Last column: magnetic moment on the atom in μB.
Fractional coordinates of all 12 atoms:
1 Te 0.662 0.074 0.323  -0.02
2 Te 0.338 0.926 0.677  -0.02
3 Te 0.995 0.241 0.991  -0.01
4 Te 0.335 0.413 0.669  -0.04
5 Te 0.665 0.587 0.331  -0.04
6 Te 0.005 0.759 0.009  -0.01
7 Sc 0.500 0.000 0.000  0.14
8 Er 0.500 0.500 0.000  0.05
9 Er 0.171 0.835 0.343  0.00
10 Er 0.829 0.165 0.657  0.00
11 Pu 0.165 0.331 0.330  5.58
12 Pu 0.835 0.669 0.670  5.58



3.
Material: ErPu3Sc2Te6
Method: DFT, GGA-PBE
State: optimized geometry

Computed properties:
- E_form (uncorrected): -13.5 eV per formula unit
- Total moment: 5.9 μB per cell
- Density of states at the Fermi level: 34.47 states/eV/cell

a = 4.307 Å, b = 8.671 Å, c = 9.664 Å
α = 102.81°, β = 102.88°, γ = 90.00°
Last column: magnetic moment on the atom in μB.
Fractional coordinates of all 12 atoms:
1 Pu 0.500 0.500 0.000  -5.51
2 Pu 0.835 0.166 0.670  5.55
3 Pu 0.165 0.834 0.330  5.55
4 Te 0.334 0.903 0.668  -0.04
5 Te 0.329 0.426 0.658  -0.01
6 Te 0.006 0.248 0.012  0.02
7 Te 0.994 0.752 0.988  0.02
8 Te 0.671 0.574 0.342  -0.01
9 Te 0.666 0.097 0.332  -0.04
10 Sc 0.167 0.337 0.335  0.01
11 Sc 0.833 0.663 0.665  0.01
12 Er 0.500 0.000 0.000  0.03



4.
Material: ErPu2ScTe4
Method: DFT, GGA-PBE
State: optimized geometry

Computed properties:
- E_form (uncorrected): -7.8 eV per formula unit
- Total moment: 13.4 μB per cell
- Density of states at the Fermi level: 10.90 states/eV/cell

a = 5.311 Å, b = 9.186 Å, c = 5.301 Å
α = 125.19°, β = 90.00°, γ = 90.00°
Last column: magnetic moment on the atom in μB.
Fractional coordinates of all 8 atoms:
1 Te 0.500 0.248 0.248  0.08
2 Te 0.000 0.752 0.252  0.08
3 Te 0.500 0.752 0.752  0.08
4 Te 0.000 0.248 0.748  0.08
5 Sc 0.000 0.000 0.000  -0.62
6 Pu 0.000 0.500 0.500  -5.59
7 Pu 0.500 0.000 0.500  -5.57
8 Er 0.500 0.500 0.000  -0.48



5.
Material: Er2PuSc3Te6
Method: DFT, GGA-PBE
State: optimized geometry

Computed properties:
- E_form (uncorrected): -11.4 eV per formula unit
- Total moment: 8.0 μB per cell
- Density of states at the Fermi level: 10.53 states/eV/cell

a = 4.191 Å, b = 8.307 Å, c = 15.552 Å
α = 130.45°, β = 97.74°, γ = 90.00°
Last column: magnetic moment on the atom in μB.
Fractional coordinates of all 12 atoms:
1 Te 0.192 0.539 0.383  -0.01
2 Te 0.373 0.140 0.745  -0.01
3 Te 0.024 0.322 0.049  0.02
4 Te 0.627 0.860 0.255  -0.01
5 Te 0.976 0.678 0.951  0.02
6 Te 0.808 0.461 0.617  -0.01
7 Pu 0.500 0.000 0.000  -5.71
8 Er 0.106 0.064 0.213  -0.22
9 Er 0.894 0.936 0.787  -0.22
10 Sc 0.620 0.484 0.240  -0.30
11 Sc 0.380 0.516 0.760  -0.30
12 Sc 0.500 0.500 0.000  -0.06



6.
Material: ErPuThSc
Method: DFT, GGA-PBE
State: optimized geometry

Computed properties:
- Energy of formation: 0.174 eV/atom
- Total moment: 7.5 μB per cell
- Density of states at the Fermi level: 12.17 states/eV/cell

a = 5.432 Å, b = 5.432 Å, c = 5.432 Å
α = 60.00°, β = 60.00°, γ = 60.00°
Last column: magnetic moment on the atom in μB.
Fractional coordinates of all 4 atoms:
1 Er 0.750 0.750 0.750  0.31
2 Pu 0.500 0.500 0.500  5.60
3 Th 0.250 0.250 0.250  0.46
4 Sc 0.000 0.000 0.000  0.23



total moment of number 2 (Er3Pu2ScTe6)? 12.2 μB per cell